Record 1
This record from Alexandria via LeMat-Bulk describes KRbCd10 after structural relaxation. The functional is PBE.

Cell lengths 4.8020, 6.3929, 11.0493 Å; angles 90.00, 90.00, 90.00 degrees
Space group Pmmm (No. 47)
Symmetry-distinct sites (fractional):
K  0.0000  0.0000  0.0000 (multiplicity 1)
Rb  0.0000  0.5000  0.5000 (multiplicity 1)
Cd  0.0000  0.0000  0.3307 (multiplicity 2)
Cd  0.0000  0.5000  0.1632 (multiplicity 2)
Cd  0.5000  0.0000  0.5000 (multiplicity 1)
Cd  0.5000  0.2472  0.2457 (multiplicity 4)
Cd  0.5000  0.5000  0.0000 (multiplicity 1)

Electronic total energy   -0.997 eV per atom
Fermi-level density of states   4.88 states/eV per cell
ΔH_f (0 K)   -62 meV/atom

Record 2
This record from Alexandria via LeMat-Bulk describes K3Rb2Cd2 after structural relaxation. The functional is PBE.

Cell lengths 14.3929, 5.4676, 10.7962 Å; angles 90.00, 112.57, 90.00 degrees
Space group C2/m (No. 12)
Symmetry-distinct sites (fractional):
K  0.0000  0.0000  0.0000 (multiplicity 2)
K  0.1282  0.0000  0.4385 (multiplicity 4)
Rb  0.1499  0.5000  0.8100 (multiplicity 4)
Cd  0.1587  0.5000  0.2157 (multiplicity 4)

Electronic total energy   -1.018 eV per atom
Fermi-level density of states   8.56 states/eV per cell
ΔH_f (0 K)   -10 meV/atom

Record 3
This record from Alexandria via LeMat-Bulk describes K2RbCd2 after structural relaxation. The functional is PBE.

Cell lengths 5.6562, 5.6562, 15.4462 Å; angles 90.00, 90.00, 90.00 degrees
Space group I4/mmm (No. 139)
Symmetry-distinct sites (fractional):
K  0.0000  0.5000  0.2500 (multiplicity 4)
Rb  0.0000  0.0000  0.0000 (multiplicity 2)
Cd  0.0000  0.0000  0.4066 (multiplicity 4)

Electronic total energy   -0.993 eV per atom
Fermi-level density of states   9.04 states/eV per cell
ΔH_f (0 K)   6 meV/atom

Record 4
This record from Alexandria via LeMat-Bulk describes KRbCd2Re after structural relaxation. The functional is PBE.

Cell lengths 6.2254, 6.2254, 6.7844 Å; angles 90.00, 90.00, 90.00 degrees
Space group P4/mmm (No. 123)
Symmetry-distinct sites (fractional):
K  0.0000  0.0000  0.0000 (multiplicity 1)
Rb  0.0000  0.0000  0.5000 (multiplicity 1)
Cd  0.0000  0.5000  0.0000 (multiplicity 2)
Re  0.5000  0.5000  0.5000 (multiplicity 1)

Electronic total energy   -1.523 eV per atom
Fermi-level density of states   8.07 states/eV per cell
ΔH_f (0 K)   1745 meV/atom

Record 5
This record from Alexandria via LeMat-Bulk describes KRbCd2Rh after structural relaxation. The functional is PBE.

Cell lengths 5.3578, 5.3578, 6.0150 Å; angles 90.00, 90.00, 90.00 degrees
Space group P4/mmm (No. 123)
Symmetry-distinct sites (fractional):
K  0.0000  0.0000  0.0000 (multiplicity 1)
Rb  0.5000  0.5000  0.0000 (multiplicity 1)
Cd  0.0000  0.5000  0.5000 (multiplicity 2)
Rh  0.5000  0.5000  0.5000 (multiplicity 1)

Electronic total energy   -2.143 eV per atom
Fermi-level density of states   3.09 states/eV per cell
ΔH_f (0 K)   107 meV/atom

Record 6
This record from Alexandria via LeMat-Bulk describes KRbCd2Rh after structural relaxation. The functional is PBE.

Cell lengths 5.3553, 5.3553, 5.9063 Å; angles 90.00, 90.00, 90.00 degrees
Space group P4/mmm (No. 123)
Symmetry-distinct sites (fractional):
K  0.0000  0.0000  0.0000 (multiplicity 1)
Rb  0.5000  0.5000  0.0000 (multiplicity 1)
Cd  0.0000  0.5000  0.5000 (multiplicity 2)
Rh  0.0000  0.0000  0.5000 (multiplicity 1)

Electronic total energy   -2.187 eV per atom
Fermi-level density of states   1.97 states/eV per cell
ΔH_f (0 K)   63 meV/atom